Entry 1:
{"formula": "Sc2HgO2", "functional": "SCAN", "state": "single point on PBEsol structure", "cell": [[-2.055, 2.055, 5.332], [2.055, -2.055, 5.332], [2.055, 2.055, -5.332]], "species": ["Sc", "Sc", "Hg", "O", "O"], "frac_coords": [[0.250, 0.750, 0.500], [0.750, 0.250, 0.500], [0.000, 0.000, 0.000], [0.284, 0.284, 0.000], [0.716, 0.716, 0.000]], "e_tot_ev_per_atom": -24.121, "formation_energy_uncorrected_ev_per_atom": -2.30, "vol_a3_per_cell": 90.1}


Entry 2:
{"formula": "Hg2SeO4", "functional": "SCAN", "state": "single point on PBEsol structure", "cell": [[6.373, 0.000, 0.000], [0.000, 4.662, 0.000], [-0.230, 0.000, 8.529]], "species": ["Hg", "Hg", "Hg", "Hg", "Se", "Se", "O", "O", "O", "O", "O", "O", "O", "O"], "frac_coords": [[0.192, 0.061, 0.481], [0.192, 0.939, 0.981], [0.808, 0.061, 0.019], [0.808, 0.939, 0.519], [0.500, 0.453, 0.250], [0.500, 0.547, 0.750], [0.279, 0.362, 0.741], [0.279, 0.638, 0.241], [0.498, 0.231, 0.409], [0.498, 0.769, 0.909], [0.502, 0.231, 0.091], [0.502, 0.769, 0.591], [0.721, 0.362, 0.759], [0.721, 0.638, 0.259]], "e_tot_ev_per_atom": -26.492, "formation_energy_uncorrected_ev_per_atom": -0.59, "vol_a3_per_cell": 253.4}


Entry 3:
{"formula": "Hg2SeO3", "functional": "SCAN", "state": "single point on PBEsol structure", "cell": [[8.609, 0.000, 0.000], [0.000, 5.053, 0.000], [-6.278, 0.000, 10.172]], "species": ["Hg", "Hg", "Hg", "Hg", "Hg", "Hg", "Hg", "Hg", "Se", "Se", "Se", "Se", "O", "O", "O", "O", "O", "O", "O", "O", "O", "O", "O", "O"], "frac_coords": [[0.070, 0.238, 0.407], [0.070, 0.262, 0.907], [0.269, 0.206, 0.158], [0.269, 0.294, 0.658], [0.731, 0.706, 0.342], [0.731, 0.794, 0.842], [0.930, 0.738, 0.093], [0.930, 0.762, 0.593], [0.345, 0.745, 0.376], [0.345, 0.755, 0.876], [0.655, 0.245, 0.124], [0.655, 0.255, 0.624], [0.116, 0.659, 0.301], [0.116, 0.841, 0.801], [0.333, 0.086, 0.357], [0.333, 0.414, 0.857], [0.392, 0.656, 0.259], [0.392, 0.844, 0.759], [0.608, 0.156, 0.241], [0.608, 0.344, 0.741], [0.667, 0.586, 0.143], [0.667, 0.914, 0.643], [0.884, 0.159, 0.199], [0.884, 0.341, 0.699]], "e_tot_ev_per_atom": -29.821, "formation_energy_uncorrected_ev_per_atom": -0.64, "vol_a3_per_cell": 442.5}